Entry 1:
A relaxed structure of Mn4CoAg, computed with PBEsol.

Unit cell a=4.6390 b=4.6390 c=4.6390 alpha=60.00 beta=60.00 gamma=60.00
Positions (direct):
Mn1 0.1250 0.1250 0.1250
Mn2 0.1250 0.1250 0.6249
Mn3 0.1250 0.6249 0.1250
Mn4 0.6249 0.1250 0.1250
Co1 0.7500 0.7500 0.7500
Ag1 0.5000 0.5000 0.5000

## Properties
Calculated density (g/cm3): 9.09
Energy of formation (meV/atom): 448
SG: No. 216
DFT total energy (eV/atom): -7.901

Entry 2:
A relaxed structure of ZrOsW, computed with PBEsol.

Unit cell a=6.1677 b=6.1677 c=6.1677 alpha=90.00 beta=90.00 gamma=90.00
Positions (direct):
Zr1 0.0000 0.0000 0.0000
Zr2 0.0000 0.5000 0.5000
Zr3 0.5000 0.0000 0.5000
Zr4 0.5000 0.5000 0.0000
Os1 0.2500 0.2500 0.7500
Os2 0.2500 0.7500 0.2500
Os3 0.7500 0.2500 0.2500
Os4 0.7500 0.7500 0.7500
W1 0.0000 0.0000 0.5000
W2 0.0000 0.5000 0.0000
W3 0.5000 0.0000 0.0000
W4 0.5000 0.5000 0.5000

## Properties
Excess energy over the best structure of this formula in the dataset (kJ per mole of atoms): 33.6
Calculated density (g/cm3): 13.17
Energy of formation (meV/atom): 335
SG: No. 216
DFT total energy (eV/atom): -11.370

Entry 3:
A relaxed structure of Al2GaIr, computed with PBEsol.

Unit cell a=7.9160 b=7.9160 c=4.8373 alpha=90.00 beta=90.00 gamma=90.00
Positions (direct):
Al1 0.1627 0.7500 0.1250
Al2 0.2500 0.1627 0.8750
Al3 0.2500 0.3373 0.3750
Al4 0.3373 0.7500 0.6250
Al5 0.6627 0.2500 0.6250
Al6 0.7500 0.6627 0.3750
Al7 0.7500 0.8373 0.8750
Al8 0.8373 0.2500 0.1250
Ga1 0.0000 0.0000 0.5000
Ga2 0.0000 0.5000 0.7500
Ga3 0.5000 0.0000 0.2500
Ga4 0.5000 0.5000 0.0000
Ir1 0.0000 0.0000 0.0000
Ir2 0.0000 0.5000 0.2500
Ir3 0.5000 0.0000 0.7500
Ir4 0.5000 0.5000 0.5000

## Properties
Calculated density (g/cm3): 6.92
Energy of formation (meV/atom): -74
SG: No. 122
DFT total energy (eV/atom): -5.411

Entry 4:
A relaxed structure of ReOs3, computed with PBEsol.

Unit cell a=4.3245 b=5.4777 c=4.7464 alpha=90.00 beta=90.00 gamma=90.00
Positions (direct):
Re1 0.2500 0.2500 0.1666
Re2 0.7500 0.7500 0.8334
Os1 0.2500 0.9995 0.6670
Os2 0.2500 0.5005 0.6670
Os3 0.2500 0.7500 0.1667
Os4 0.7500 0.0005 0.3330
Os5 0.7500 0.2500 0.8333
Os6 0.7500 0.4995 0.3330

## Properties
Excess energy over the best structure of this formula in the dataset (kJ per mole of atoms): 0.0
Calculated density (g/cm3): 22.36
Energy of formation (meV/atom): -77
SG: No. 59
DFT total energy (eV/atom): -12.572

Entry 5:
A relaxed structure of YAlW, computed with PBEsol.

Unit cell a=6.4506 b=6.4506 c=6.4506 alpha=90.00 beta=90.00 gamma=90.00
Positions (direct):
Y1 0.0000 0.0000 0.0000
Y2 0.0000 0.5000 0.5000
Y3 0.5000 0.0000 0.5000
Y4 0.5000 0.5000 0.0000
Al1 0.0000 0.0000 0.5000
Al2 0.0000 0.5000 0.0000
Al3 0.5000 0.0000 0.0000
Al4 0.5000 0.5000 0.5000
W1 0.2500 0.2500 0.7500
W2 0.2500 0.7500 0.2500
W3 0.7500 0.2500 0.2500
W4 0.7500 0.7500 0.7500

## Properties
Calculated density (g/cm3): 7.42
Energy of formation (meV/atom): 940
SG: No. 216
DFT total energy (eV/atom): -7.300

Entry 6:
A relaxed structure of LaCoNi2, computed with PBEsol.

Unit cell a=4.0591 b=4.0591 c=13.8949 alpha=90.00 beta=90.00 gamma=120.00
Positions (direct):
La1 0.0000 0.0000 0.0000
La2 0.3333 0.6667 0.6667
La3 0.6667 0.3333 0.3333
Co1 0.0000 0.0000 0.8194
Co2 0.3333 0.6667 0.4861
Co3 0.6667 0.3333 0.1528
Ni1 0.0000 0.0000 0.1900
Ni2 0.0000 0.0000 0.4960
Ni3 0.3333 0.6667 0.1627
Ni4 0.3333 0.6667 0.8567
Ni5 0.6667 0.3333 0.5234
Ni6 0.6667 0.3333 0.8294

## Properties
Calculated density (g/cm3): 7.92
Energy of formation (meV/atom): -159
SG: No. 160
DFT total energy (eV/atom): -6.509

Entry 7:
A relaxed structure of Si2RuPb, computed with PBEsol.

Unit cell a=5.3583 b=7.6760 c=3.2557 alpha=90.00 beta=90.00 gamma=90.00
Positions (direct):
Si1 0.2500 0.2500 0.0000
Si2 0.2500 0.7500 0.0000
Si3 0.7500 0.2500 0.0000
Si4 0.7500 0.7500 0.0000
Ru1 0.0000 0.0000 0.5000
Ru2 0.5000 0.5000 0.5000
Pb1 0.0000 0.5000 0.5000
Pb2 0.5000 0.0000 0.5000

## Properties
Calculated density (g/cm3): 9.04
SG: No. 65
DFT total energy (eV/atom): -5.837
Formation energy without anion corrections (eV/atom): 0.579

Entry 8:
A relaxed structure of RbFeBr3, computed with PBEsol.

Unit cell a=6.2301 b=7.5775 c=7.6762 alpha=61.07 beta=88.26 gamma=88.11
Positions (direct):
Rb1 0.2243 0.1500 0.1288
Rb2 0.7757 0.8500 0.8712
Fe1 0.1619 0.4406 0.4577
Fe2 0.8381 0.5594 0.5423
Br1 0.2034 0.6534 0.6023
Br2 0.2711 0.6154 0.1175
Br3 0.2729 0.1051 0.6896
Br4 0.7271 0.8949 0.3104
Br5 0.7289 0.3846 0.8825
Br6 0.7966 0.3466 0.3977

## Properties
Calculated density (g/cm3): 3.99
SG: No. 2
DFT total energy (eV/atom): -4.051
Formation energy without anion corrections (eV/atom): -0.931

Entry 9:
A relaxed structure of EuTl2Pd, computed with PBEsol.

Unit cell a=4.4222 b=10.6973 c=8.0373 alpha=90.00 beta=90.00 gamma=90.00
Positions (direct):
Eu1 0.0000 0.0684 0.2500
Eu2 0.0000 0.9316 0.7500
Eu3 0.5000 0.4316 0.7500
Eu4 0.5000 0.5684 0.2500
Tl1 0.0000 0.3578 0.0499
Tl2 0.0000 0.3578 0.4501
Tl3 0.0000 0.6422 0.5499
Tl4 0.0000 0.6422 0.9501
Tl5 0.5000 0.1422 0.5499
Tl6 0.5000 0.1422 0.9501
Tl7 0.5000 0.8578 0.0499
Tl8 0.5000 0.8578 0.4501
Pd1 0.0000 0.2169 0.7500
Pd2 0.0000 0.7831 0.2500
Pd3 0.5000 0.2831 0.2500
Pd4 0.5000 0.7169 0.7500

## Properties
Calculated density (g/cm3): 11.65
Energy of formation (meV/atom): -476
SG: No. 63
DFT total energy (eV/atom): -5.921

Entry 10:
A relaxed structure of Mg2AlRu, computed with PBEsol.

Unit cell a=2.9093 b=2.9093 c=27.5655 alpha=90.00 beta=90.00 gamma=120.00
Positions (direct):
Mg1 0.0000 0.0000 0.2427
Mg2 0.0000 0.0000 0.7573
Mg3 0.3333 0.6667 0.4239
Mg4 0.3333 0.6667 0.9094
Mg5 0.6667 0.3333 0.0906
Mg6 0.6667 0.3333 0.5761
Al1 0.0000 0.0000 0.0000
Al2 0.3333 0.6667 0.6667
Al3 0.6667 0.3333 0.3333
Ru1 0.0000 0.0000 0.5000
Ru2 0.3333 0.6667 0.1667
Ru3 0.6667 0.3333 0.8333

## Properties
Calculated density (g/cm3): 4.36
Energy of formation (meV/atom): 168
SG: No. 166
DFT total energy (eV/atom): -4.257

Entry 11:
A relaxed structure of NiGe2, computed with PBEsol.

Unit cell a=6.0940 b=6.0940 c=5.7173 alpha=90.00 beta=90.00 gamma=55.79
Positions (direct):
Ni1 0.1152 0.1152 0.0000
Ni2 0.3848 0.3848 0.5000
Ni3 0.6152 0.6152 0.5000
Ni4 0.8848 0.8848 0.0000
Ge1 0.0012 0.4988 0.2500
Ge2 0.1549 0.8451 0.6567
Ge3 0.3451 0.6549 0.1567
Ge4 0.4988 0.0012 0.7500
Ge5 0.5012 0.9988 0.2500
Ge6 0.6549 0.3451 0.8433
Ge7 0.8451 0.1549 0.3433
Ge8 0.9988 0.5012 0.7500

## Properties
Calculated density (g/cm3): 7.72
Energy of formation (meV/atom): -231
SG: No. 64
DFT total energy (eV/atom): -5.577

Entry 12:
A relaxed structure of YCuPS2, computed with PBEsol.

Unit cell a=4.5314 b=4.5314 c=4.4234 alpha=90.00 beta=90.00 gamma=90.00
Positions (direct):
Y1 0.0000 0.0000 0.0000
Cu1 0.5000 0.5000 0.5000
P1 0.5000 0.5000 0.0000
S1 0.0000 0.5000 0.5000
S2 0.5000 0.0000 0.5000

## Properties
Calculated density (g/cm3): 4.53
SG: No. 123
DFT total energy (eV/atom): -5.574
Formation energy without anion corrections (eV/atom): -0.431

Entry 13:
A relaxed structure of LiAgPt2, computed with PBEsol.

Unit cell a=2.7695 b=4.6411 c=9.1709 alpha=90.00 beta=90.00 gamma=90.00
Positions (direct):
Li1 0.0000 0.0000 0.0000
Li2 0.5000 0.5000 0.0000
Ag1 0.0000 0.0000 0.5000
Ag2 0.5000 0.5000 0.5000
Pt1 0.0000 0.5000 0.2342
Pt2 0.0000 0.5000 0.7658
Pt3 0.5000 0.0000 0.2342
Pt4 0.5000 0.0000 0.7658

## Properties
Excess energy over the best structure of this formula in the dataset (kJ per mole of atoms): 3.7
Calculated density (g/cm3): 14.23
Energy of formation (meV/atom): -260
SG: No. 65
DFT total energy (eV/atom): -5.061